(1)
# NaCo2Cl2 GGA-PBE relaxed
# Formation energy (no corrections) ... -0.05 eV per atom
# ΔE to the lowest computed polymorph ... 0.0 meV/atom
data_NaCo2Cl2
_chemical_formula_sum 'Na2 Co4 Cl4'
_space_group_name_H-M_alt 'P 4/m b m'
_space_group_IT_number 127
_space_group_name_Hall '-P 4 2ab'
_cell_length_a 7.3485
_cell_length_b 7.3485
_cell_length_c 4.0663
_cell_angle_alpha 90.00
_cell_angle_beta 90.00
_cell_angle_gamma 90.00
loop_
_atom_site_label
_atom_site_type_symbol
_atom_site_fract_x
_atom_site_fract_y
_atom_site_fract_z
Na1 Na 0.0000 0.0000 0.0000
Co1 Co 0.1064 0.3936 0.0000
Cl1 Cl 0.1714 0.3286 0.5000



(2)
# RbRuS2N GGA-PBE relaxed
# Formation energy (no corrections) ... 0.13 eV per atom
# ΔE to the lowest computed polymorph ... 0.0 meV/atom
data_RbRuS2N
_chemical_formula_sum 'Rb1 Ru1 S2 N1'
_space_group_name_H-M_alt 'P 4/m m m'
_space_group_IT_number 123
_space_group_name_Hall '-P 4 2'
_cell_length_a 5.0766
_cell_length_b 5.0766
_cell_length_c 3.7481
_cell_angle_alpha 90.00
_cell_angle_beta 90.00
_cell_angle_gamma 90.00
loop_
_atom_site_label
_atom_site_type_symbol
_atom_site_fract_x
_atom_site_fract_y
_atom_site_fract_z
Rb1 Rb 0.0000 0.0000 0.0000
Ru1 Ru 0.5000 0.5000 0.5000
S1 S 0.0000 0.5000 0.5000
N1 N 0.5000 0.5000 0.0000



(3)
# Si2OsCl GGA-PBE relaxed
# Formation energy (no corrections) ... 0.38 eV per atom
# ΔE to the lowest computed polymorph ... 466.7 meV/atom
data_Si2OsCl
_chemical_formula_sum 'Si4 Os2 Cl2'
_space_group_name_H-M_alt 'C m m m'
_space_group_IT_number 65
_space_group_name_Hall '-C 2 2'
_cell_length_a 3.0802
_cell_length_b 5.1875
_cell_length_c 8.0775
_cell_angle_alpha 90.00
_cell_angle_beta 90.00
_cell_angle_gamma 90.00
loop_
_atom_site_label
_atom_site_type_symbol
_atom_site_fract_x
_atom_site_fract_y
_atom_site_fract_z
Si1 Si 0.0000 0.0000 0.2313
Os1 Os 0.0000 0.5000 0.0000
Cl1 Cl 0.0000 0.5000 0.5000



(4)
# AlBrCl2 GGA-PBE relaxed
# Formation energy (no corrections) ... -0.55 eV per atom
# ΔE to the lowest computed polymorph ... 797.3 meV/atom
data_AlBrCl2
_chemical_formula_sum 'Al3 Br3 Cl6'
_space_group_name_H-M_alt 'R -3 m'
_space_group_IT_number 166
_space_group_name_Hall '-R 3 2"'
_cell_length_a 3.6205
_cell_length_b 3.6205
_cell_length_c 24.1217
_cell_angle_alpha 90.00
_cell_angle_beta 90.00
_cell_angle_gamma 120.00
loop_
_atom_site_label
_atom_site_type_symbol
_atom_site_fract_x
_atom_site_fract_y
_atom_site_fract_z
Al1 Al 0.0000 0.0000 0.0000
Br1 Br 0.0000 0.0000 0.5000
Cl1 Cl 0.0000 0.0000 0.2789



(5)
# TcIrOs2 GGA-PBE relaxed
# Formation energy ... 0.00 eV per atom
# ΔE to the lowest computed polymorph ... 9.2 meV/atom
data_TcIrOs2
_chemical_formula_sum 'Tc2 Ir2 Os4'
_space_group_name_H-M_alt 'I -4 m 2'
_space_group_IT_number 119
_space_group_name_Hall 'I -4 -2'
_cell_length_a 3.8713
_cell_length_b 3.8713
_cell_length_c 7.6853
_cell_angle_alpha 90.00
_cell_angle_beta 90.00
_cell_angle_gamma 90.00
loop_
_atom_site_label
_atom_site_type_symbol
_atom_site_fract_x
_atom_site_fract_y
_atom_site_fract_z
Tc1 Tc 0.0000 0.0000 0.0000
Ir1 Ir 0.0000 0.5000 0.7500
Os1 Os 0.0000 0.0000 0.5000
Os2 Os 0.0000 0.5000 0.2500



(6)
# TaB3Ir GGA-PBE relaxed
# Formation energy ... 1.22 eV per atom
# ΔE to the lowest computed polymorph ... 1670.8 meV/atom
data_TaB3Ir
_chemical_formula_sum 'Ta1 B3 Ir1'
_space_group_name_H-M_alt 'P m -3 m'
_space_group_IT_number 221
_space_group_name_Hall '-P 4 2 3'
_cell_length_a 4.0202
_cell_length_b 4.0202
_cell_length_c 4.0202
_cell_angle_alpha 90.00
_cell_angle_beta 90.00
_cell_angle_gamma 90.00
loop_
_atom_site_label
_atom_site_type_symbol
_atom_site_fract_x
_atom_site_fract_y
_atom_site_fract_z
Ta1 Ta 0.0000 0.0000 0.0000
B1 B 0.0000 0.5000 0.5000
Ir1 Ir 0.5000 0.5000 0.5000



(7)
# Er2AlO GGA-PBE relaxed
# Formation energy (no corrections) ... -1.12 eV per atom
# ΔE to the lowest computed polymorph ... 0.0 meV/atom
data_Er2AlO
_chemical_formula_sum 'Er2 Al1 O1'
_space_group_name_H-M_alt 'P 4/m m m'
_space_group_IT_number 123
_space_group_name_Hall '-P 4 2'
_cell_length_a 3.0401
_cell_length_b 3.0401
_cell_length_c 7.5733
_cell_angle_alpha 90.00
_cell_angle_beta 90.00
_cell_angle_gamma 90.00
loop_
_atom_site_label
_atom_site_type_symbol
_atom_site_fract_x
_atom_site_fract_y
_atom_site_fract_z
Er1 Er 0.0000 0.0000 0.2049
Al1 Al 0.5000 0.5000 0.5000
O1 O 0.5000 0.5000 0.0000



(8)
# AsCS2 GGA-PBE relaxed
# Formation energy (no corrections) ... 0.53 eV per atom
# ΔE to the lowest computed polymorph ... 42.8 meV/atom
data_AsCS2
_chemical_formula_sum 'As2 C2 S4'
_space_group_name_H-M_alt 'C 1 m 1'
_space_group_IT_number 8
_cell_length_a 13.7688
_cell_length_b 2.9672
_cell_length_c 5.0419
_cell_angle_alpha 90.00
_cell_angle_beta 104.38
_cell_angle_gamma 90.00
loop_
_space_group_symop_operation_xyz
'x,y,z'
'x,-y,z'
'x+1/2,y+1/2,z'
'x+1/2,-y+1/2,z'
loop_
_atom_site_label
_atom_site_type_symbol
_atom_site_fract_x
_atom_site_fract_y
_atom_site_fract_z
As1 As 0.0000 0.0000 0.0000
C1 C 0.1462 0.0000 0.1729
S1 S 0.2178 0.5000 0.2437
S2 S 0.4963 0.0000 0.6616